## BiP2IrCl (PBE-GGA)

Data for an optimized crystal structure of BiP2IrCl.

offset from the most stable computed form: 0.000 eV per atom
volume: 21.35 Å³ per atom
crystal system: tetragonal
spin magnetization: 0.000 Bohr magnetons per cell
SG: P4/mmm

Lattice parameters (Å, degrees): 4.660 4.660 4.917 90.00 90.00 90.00
Fractional positions:
1 Bi 0.000 0.000 0.000
2 P 0.000 0.500 0.500
3 P 0.500 0.000 0.500
4 Ir 0.500 0.500 0.500
5 Cl 0.500 0.500 0.000